A:
Here is an optimized crystal structure of RbSi3Ni from Alexandria via LeMat-Bulk. Energies are from PBE.

Lattice parameters (Å, degrees): 4.6775 4.6775 4.6775 90.00 90.00 90.00
Space group Pm-3m (No. 221)
Inequivalent atoms, fractional coordinates:
Rb  0.0000  0.0000  0.0000 x1
Si  0.0000  0.5000  0.5000 x3
Ni  0.5000  0.5000  0.5000 x1

Results
As for the crystal system: cubic. The density of states at the Fermi level comes out at 4.99 states/eV per cell. The calculation puts the volume at 102.3 Å³/f.u.


B:
Here is an optimized crystal structure of RbSi3Ni from Alexandria via LeMat-Bulk. Energies are from PBE.

Lattice parameters (Å, degrees): 5.3263 5.3263 5.3263 90.00 90.00 90.00
Space group Pm-3m (No. 221)
Inequivalent atoms, fractional coordinates:
Rb  0.0000  0.0000  0.0000 x1
Si  0.0000  0.0000  0.5000 x3
Ni  0.5000  0.5000  0.5000 x1

Results
As for the crystal system: cubic. The density of states at the Fermi level comes out at 4.65 states/eV per cell. The calculation puts the volume at 151.1 Å³/f.u.


Tell me which of them is the least stable. Sure, it is B.


A:
Here is an optimized crystal structure of RbSr3Ni from Alexandria via LeMat-Bulk. Energies are from PBE.

Lattice parameters (Å, degrees): 6.4796 6.4796 6.4796 90.00 90.00 90.00
Space group Pm-3m (No. 221)
Inequivalent atoms, fractional coordinates:
Rb  0.0000  0.0000  0.0000 x1
Sr  0.0000  0.0000  0.5000 x3
Ni  0.5000  0.5000  0.5000 x1

Results
As for the crystal system: cubic. The density of states at the Fermi level comes out at 6.98 states/eV per cell. The calculation puts the volume at 272.0 Å³/f.u.


B:
Here is an optimized crystal structure of RbSr3Ni from Alexandria via LeMat-Bulk. Energies are from PBE.

Lattice parameters (Å, degrees): 6.1225 6.1225 6.1225 90.00 90.00 90.00
Space group Pm-3m (No. 221)
Inequivalent atoms, fractional coordinates:
Rb  0.0000  0.0000  0.0000 x1
Sr  0.0000  0.5000  0.5000 x3
Ni  0.5000  0.5000  0.5000 x1

Results
As for the crystal system: cubic. The density of states at the Fermi level comes out at 4.16 states/eV per cell. The calculation puts the volume at 229.5 Å³/f.u.


Tell me which of them is the least stable. Sure, it is A.


A:
Here is an optimized crystal structure of RbSrNi3 from Alexandria via LeMat-Bulk. Energies are from PBE.

Lattice parameters (Å, degrees): 4.9728 4.9728 4.9728 90.00 90.00 90.00
Space group Pm-3m (No. 221)
Inequivalent atoms, fractional coordinates:
Rb  0.0000  0.0000  0.0000 x1
Sr  0.5000  0.5000  0.5000 x1
Ni  0.0000  0.0000  0.5000 x3

Results
As for the crystal system: cubic. The density of states at the Fermi level comes out at 4.47 states/eV per cell. The calculation puts the volume at 123.0 Å³/f.u.


B:
Here is an optimized crystal structure of RbSrNi3 from Alexandria via LeMat-Bulk. Energies are from PBE.

Lattice parameters (Å, degrees): 5.3060 5.3060 5.3060 90.00 90.00 90.00
Space group Pm-3m (No. 221)
Inequivalent atoms, fractional coordinates:
Rb  0.0000  0.0000  0.0000 x1
Sr  0.5000  0.5000  0.5000 x1
Ni  0.0000  0.5000  0.5000 x3

Results
As for the crystal system: cubic. The density of states at the Fermi level comes out at 6.10 states/eV per cell. The calculation puts the volume at 149.4 Å³/f.u.


Tell me which of them is the least stable. Sure, it is A.


A:
Here is an optimized crystal structure of RbTaNi3 from Alexandria via LeMat-Bulk. Energies are from PBE.

Lattice parameters (Å, degrees): 4.7969 4.7969 4.7969 90.00 90.00 90.00
Space group Pm-3m (No. 221)
Inequivalent atoms, fractional coordinates:
Rb  0.0000  0.0000  0.0000 x1
Ta  0.5000  0.5000  0.5000 x1
Ni  0.0000  0.5000  0.5000 x3

Results
As for the crystal system: cubic. The density of states at the Fermi level comes out at 5.75 states/eV per cell. The calculation puts the volume at 110.4 Å³/f.u.


B:
Here is an optimized crystal structure of RbTaNi3 from Alexandria via LeMat-Bulk. Energies are from PBE.

Lattice parameters (Å, degrees): 4.5307 4.5307 4.5307 90.00 90.00 90.00
Space group Pm-3m (No. 221)
Inequivalent atoms, fractional coordinates:
Rb  0.0000  0.0000  0.0000 x1
Ta  0.5000  0.5000  0.5000 x1
Ni  0.0000  0.0000  0.5000 x3

Results
As for the crystal system: cubic. The density of states at the Fermi level comes out at 6.94 states/eV per cell. The calculation puts the volume at 93.0 Å³/f.u.


Tell me which of them is the least stable. Sure, it is B.


A:
Here is an optimized crystal structure of RbTa2Ni from Alexandria via LeMat-Bulk. Energies are from PBE.

Lattice parameters (Å, degrees): 5.3332 5.3332 16.6688 90.00 90.00 90.00
Space group I4_1/amd (No. 141, origin choice 2)
Inequivalent atoms, fractional coordinates:
Rb  0.0000  0.2500  0.3750 x4
Ta  0.0000  0.0000  0.0000 x8
Ni  0.0000  0.2500  0.8750 x4

Results
As for the crystal system: tetragonal. The density of states at the Fermi level comes out at 24.56 states/eV per cell. The calculation puts the volume at 118.5 Å³/f.u.


B:
Here is an optimized crystal structure of RbTa2Ni from Alexandria via LeMat-Bulk. Energies are from PBE.

Lattice parameters (Å, degrees): 6.5954 6.5954 6.5954 90.00 90.00 90.00
Space group Fm-3m (No. 225)
Inequivalent atoms, fractional coordinates:
Rb  0.0000  0.0000  0.0000 x4
Ta  0.2500  0.2500  0.2500 x8
Ni  0.0000  0.0000  0.5000 x4

Results
As for the crystal system: cubic. The density of states at the Fermi level comes out at 18.42 states/eV per cell. The calculation puts the volume at 71.7 Å³/f.u.


Tell me which of them is the least stable. Sure, it is B.


A:
Here is an optimized crystal structure of RbTcNi from Alexandria via LeMat-Bulk. Energies are from PBE.

Lattice parameters (Å, degrees): 5.0098 5.0098 6.1390 90.00 90.00 120.00
Space group P6_3mc (No. 186)
Inequivalent atoms, fractional coordinates:
Rb  0.0000  0.0000  0.0000 x2
Tc  0.3333  0.6667  0.2940 x2
Ni  0.3333  0.6667  0.7086 x2

Results
As for the crystal system: hexagonal. The density of states at the Fermi level comes out at 5.57 states/eV per cell. The calculation puts the volume at 66.7 Å³/f.u.


B:
Here is an optimized crystal structure of RbTcNi from Alexandria via LeMat-Bulk. Energies are from PBE.

Lattice parameters (Å, degrees): 3.9105 3.9105 11.7276 90.00 90.00 90.00
Space group P4/nmm (No. 129, origin choice 2)
Inequivalent atoms, fractional coordinates:
Rb  0.2500  0.2500  0.2082 x2
Tc  0.2500  0.7500  0.5000 x2
Ni  0.2500  0.2500  0.6226 x2

Results
As for the crystal system: tetragonal. The density of states at the Fermi level comes out at 5.84 states/eV per cell. The calculation puts the volume at 89.7 Å³/f.u.


C:
Here is an optimized crystal structure of RbTcNi from Alexandria via LeMat-Bulk. Energies are from PBE.

Lattice parameters (Å, degrees): 5.0578 3.7927 10.2627 90.00 97.66 90.00
Space group P2_1/m (No. 11)
Inequivalent atoms, fractional coordinates:
Rb  0.1918  0.2500  0.2945 x2
Tc  0.3743  0.2500  0.9514 x2
Ni  0.1254  0.7500  0.0348 x2

Results
As for the crystal system: monoclinic. The density of states at the Fermi level comes out at 7.50 states/eV per cell. The calculation puts the volume at 97.6 Å³/f.u.


D:
Here is an optimized crystal structure of RbTcNi from Alexandria via LeMat-Bulk. Energies are from PBE.

Lattice parameters (Å, degrees): 6.6701 6.6701 6.6701 90.00 90.00 90.00
Space group F-43m (No. 216)
Inequivalent atoms, fractional coordinates:
Rb  0.0000  0.0000  0.0000 x4
Tc  0.0000  0.0000  0.5000 x4
Ni  0.2500  0.2500  0.7500 x4

Results
As for the crystal system: cubic. The density of states at the Fermi level comes out at 7.99 states/eV per cell. The calculation puts the volume at 74.2 Å³/f.u.


Tell me which of them is the least stable. Sure, it is D.


A:
Here is an optimized crystal structure of RbTcNi2 from Alexandria via LeMat-Bulk. Energies are from PBE.

Lattice parameters (Å, degrees): 6.5812 6.5812 6.5812 90.00 90.00 90.00
Space group Fm-3m (No. 225)
Inequivalent atoms, fractional coordinates:
Rb  0.0000  0.0000  0.0000 x4
Tc  0.0000  0.0000  0.5000 x4
Ni  0.2500  0.2500  0.2500 x8

Results
As for the crystal system: cubic. The density of states at the Fermi level comes out at 8.07 states/eV per cell. The calculation puts the volume at 71.3 Å³/f.u.


B:
Here is an optimized crystal structure of RbTcNi2 from Alexandria via LeMat-Bulk. Energies are from PBE.

Lattice parameters (Å, degrees): 7.3242 7.3242 7.5032 90.00 90.00 90.00
Space group I-42d (No. 122)
Inequivalent atoms, fractional coordinates:
Rb  0.0000  0.0000  0.0000 x4
Tc  0.0000  0.0000  0.5000 x4
Ni  0.1335  0.7500  0.6250 x8

Results
As for the crystal system: tetragonal. The density of states at the Fermi level comes out at 25.41 states/eV per cell. The calculation puts the volume at 100.6 Å³/f.u.


Tell me which of them is the least stable. Sure, it is A.


A:
Here is an optimized crystal structure of RbTc2Ni from Alexandria via LeMat-Bulk. Energies are from PBE.

Lattice parameters (Å, degrees): 6.3944 6.3944 6.3944 90.00 90.00 90.00
Space group Fm-3m (No. 225)
Inequivalent atoms, fractional coordinates:
Rb  0.0000  0.0000  0.0000 x4
Tc  0.2500  0.2500  0.2500 x8
Ni  0.0000  0.0000  0.5000 x4

Results
As for the crystal system: cubic. The density of states at the Fermi level comes out at 34.27 states/eV per cell. The calculation puts the volume at 65.4 Å³/f.u.


B:
Here is an optimized crystal structure of RbTc2Ni from Alexandria via LeMat-Bulk. Energies are from PBE.

Lattice parameters (Å, degrees): 4.7311 4.7311 17.6408 90.00 90.00 90.00
Space group I4_1/amd (No. 141, origin choice 2)
Inequivalent atoms, fractional coordinates:
Rb  0.0000  0.2500  0.3750 x4
Tc  0.0000  0.0000  0.0000 x8
Ni  0.0000  0.2500  0.8750 x4

Results
As for the crystal system: tetragonal. The density of states at the Fermi level comes out at 27.94 states/eV per cell. The calculation puts the volume at 98.7 Å³/f.u.


Tell me which of them is the least stable. Sure, it is A.


A:
Here is an optimized crystal structure of Rb2Tc2Ni from Alexandria via LeMat-Bulk. Energies are from PBE.

Lattice parameters (Å, degrees): 10.4643 10.4643 2.8174 90.00 90.00 90.00
Space group P4/mbm (No. 127)
Inequivalent atoms, fractional coordinates:
Rb  0.2124  0.2876  0.0000 x4
Tc  0.0717  0.5717  0.5000 x4
Ni  0.0000  0.0000  0.5000 x2

Results
As for the crystal system: tetragonal. The density of states at the Fermi level comes out at 12.79 states/eV per cell. The calculation puts the volume at 154.3 Å³/f.u.


B:
Here is an optimized crystal structure of Rb2Tc2Ni from Alexandria via LeMat-Bulk. Energies are from PBE.

Lattice parameters (Å, degrees): 4.0397 4.0397 15.9144 90.00 90.00 90.00
Space group I4/mmm (No. 139)
Inequivalent atoms, fractional coordinates:
Rb  0.0000  0.5000  0.2500 x4
Tc  0.0000  0.0000  0.0642 x4
Ni  0.0000  0.0000  0.5000 x2

Results
As for the crystal system: tetragonal. The density of states at the Fermi level comes out at 12.97 states/eV per cell. The calculation puts the volume at 129.9 Å³/f.u.


Tell me which of them is the least stable. Sure, it is B.


A:
Here is an optimized crystal structure of RbTc2Ni2 from Alexandria via LeMat-Bulk. Energies are from PBE.

Lattice parameters (Å, degrees): 8.0593 8.0593 2.6185 90.00 90.00 90.00
Space group P4/mbm (No. 127)
Inequivalent atoms, fractional coordinates:
Rb  0.0000  0.0000  0.0000 x2
Tc  0.1097  0.3903  0.5000 x4
Ni  0.1698  0.6698  0.0000 x4

Results
As for the crystal system: tetragonal. The density of states at the Fermi level comes out at 14.55 states/eV per cell. The calculation puts the volume at 85.0 Å³/f.u.


B:
Here is an optimized crystal structure of RbTc2Ni2 from Alexandria via LeMat-Bulk. Energies are from PBE.

Lattice parameters (Å, degrees): 3.7776 3.7776 14.9177 90.00 90.00 90.00
Space group I4/mmm (No. 139)
Inequivalent atoms, fractional coordinates:
Rb  0.0000  0.0000  0.0000 x2
Tc  0.0000  0.5000  0.2500 x4
Ni  0.0000  0.0000  0.3539 x4

Results
As for the crystal system: tetragonal. The density of states at the Fermi level comes out at 8.78 states/eV per cell. The calculation puts the volume at 106.4 Å³/f.u.


Tell me which of them is the least stable. Sure, it is B.


A:
Here is an optimized crystal structure of Rb2TcNi from Alexandria via LeMat-Bulk. Energies are from PBE.

Lattice parameters (Å, degrees): 8.2666 8.2666 8.2666 90.00 90.00 90.00
Space group Fm-3m (No. 225)
Inequivalent atoms, fractional coordinates:
Rb  0.2500  0.2500  0.2500 x8
Tc  0.0000  0.0000  0.0000 x4
Ni  0.0000  0.0000  0.5000 x4

Results
As for the crystal system: cubic. The density of states at the Fermi level comes out at 18.39 states/eV per cell. The calculation puts the volume at 141.2 Å³/f.u.


B:
Here is an optimized crystal structure of Rb2TcNi from Alexandria via LeMat-Bulk. Energies are from PBE.

Lattice parameters (Å, degrees): 12.9823 12.9823 4.5181 90.00 90.00 90.00
Space group I-42d (No. 122)
Inequivalent atoms, fractional coordinates:
Rb  0.0657  0.2500  0.1250 x8
Tc  0.0000  0.0000  0.5000 x4
Ni  0.0000  0.0000  0.0000 x4

Results
As for the crystal system: tetragonal. The density of states at the Fermi level comes out at 12.55 states/eV per cell. The calculation puts the volume at 190.4 Å³/f.u.


Tell me which of them is the least stable. Sure, it is A.


A:
Here is an optimized crystal structure of RbTiNi3 from Alexandria via LeMat-Bulk. Energies are from PBE.

Lattice parameters (Å, degrees): 4.6801 4.6801 4.6801 90.00 90.00 90.00
Space group Pm-3m (No. 221)
Inequivalent atoms, fractional coordinates:
Rb  0.0000  0.0000  0.0000 x1
Ti  0.5000  0.5000  0.5000 x1
Ni  0.0000  0.5000  0.5000 x3

Results
As for the crystal system: cubic. The density of states at the Fermi level comes out at 3.78 states/eV per cell. The calculation puts the volume at 102.5 Å³/f.u.


B:
Here is an optimized crystal structure of RbTiNi3 from Alexandria via LeMat-Bulk. Energies are from PBE.

Lattice parameters (Å, degrees): 4.5977 4.5977 4.5977 90.00 90.00 90.00
Space group Pm-3m (No. 221)
Inequivalent atoms, fractional coordinates:
Rb  0.0000  0.0000  0.0000 x1
Ti  0.5000  0.5000  0.5000 x1
Ni  0.0000  0.0000  0.5000 x3

Results
As for the crystal system: cubic. The density of states at the Fermi level comes out at 13.79 states/eV per cell. The calculation puts the volume at 97.2 Å³/f.u.


Tell me which of them is the least stable. Sure, it is B.


A:
Here is an optimized crystal structure of RbTi2Ni from Alexandria via LeMat-Bulk. Energies are from PBE.

Lattice parameters (Å, degrees): 6.6423 6.6423 6.6423 90.00 90.00 90.00
Space group Fm-3m (No. 225)
Inequivalent atoms, fractional coordinates:
Rb  0.0000  0.0000  0.0000 x4
Ti  0.2500  0.2500  0.2500 x8
Ni  0.0000  0.0000  0.5000 x4

Results
As for the crystal system: cubic. The density of states at the Fermi level comes out at 14.10 states/eV per cell. The calculation puts the volume at 73.3 Å³/f.u.


B:
Here is an optimized crystal structure of RbTi2Ni from Alexandria via LeMat-Bulk. Energies are from PBE.

Lattice parameters (Å, degrees): 5.7720 5.7720 14.8307 90.00 90.00 90.00
Space group I4_1/amd (No. 141, origin choice 2)
Inequivalent atoms, fractional coordinates:
Rb  0.0000  0.2500  0.3750 x4
Ti  0.0000  0.0000  0.0000 x8
Ni  0.0000  0.2500  0.8750 x4

Results
As for the crystal system: tetragonal. The density of states at the Fermi level comes out at 23.96 states/eV per cell. The calculation puts the volume at 123.5 Å³/f.u.


Tell me which of them is the least stable. Sure, it is A.